# 1
# NpGeB

Crystalline NpGeB at its relaxed geometry (GGA-PBE, OQMD).

Symmetry: F-43m (216)
Total energy (eV per formula unit): -23.369

Cell lengths 4.1390, 4.1390, 4.1390 Å; angles 60.00, 60.00, 60.00 degrees
Closest atoms and distances in Å follow each position.
Element x y z (fractional)
B: 0.0000 0.0000 0.0000  4 Ge 2.53, 4 Np 2.53
Ge: 0.2500 0.2500 0.2500  4 B 2.53
Np: 0.7500 0.7500 0.7500  4 B 2.53


# 2
# NpGeB

Crystalline NpGeB at its relaxed geometry (GGA-PBE, OQMD).

Symmetry: F-43m (216)
Total energy (eV per formula unit): -21.166

Cell lengths 4.3268, 4.3268, 4.3268 Å; angles 60.00, 60.00, 60.00 degrees
Closest atoms and distances in Å follow each position.
Element x y z (fractional)
B: 0.2500 0.2500 0.2500  4 Ge 2.65
Ge: 0.0000 0.0000 0.0000  4 Np 2.65, 4 B 2.65
Np: 0.7500 0.7500 0.7500  4 Ge 2.65


# 3
# Sm2GeB2O8

Crystalline Sm2GeB2O8 at its relaxed geometry (GGA-PBE, OQMD).

Symmetry: Pbcn (60)
Total energy (eV per formula unit): -102.804

Cell lengths 13.6015, 4.4293, 9.3377 Å; angles 90.00, 90.00, 90.00 degrees
Closest atoms and distances in Å follow each position.
Element x y z (fractional)
B: 0.2002 0.4672 0.2038  4 O 1.44-1.51
B: 0.2998 0.9672 0.2038  4 O 1.44-1.51
B: 0.7998 0.4672 0.2962  4 O 1.44-1.51
B: 0.7002 0.9672 0.2962  4 O 1.44-1.51
B: 0.2998 0.0328 0.7038  4 O 1.44-1.51
B: 0.2002 0.5328 0.7038  4 O 1.44-1.51
B: 0.7002 0.0328 0.7962  4 O 1.44-1.51
B: 0.7998 0.5328 0.7962  4 O 1.44-1.51
Ge: 0.5000 0.0705 0.2500  4 O 1.73-1.79
Ge: 0.0000 0.5705 0.2500  4 O 1.73-1.79
Ge: 0.0000 0.4295 0.7500  4 O 1.73-1.79
Ge: 0.5000 0.9295 0.7500  4 O 1.73-1.79
O: 0.1918 0.4621 0.0499  1 B 1.44
O: 0.3082 0.9621 0.0499  1 B 1.44
O: 0.4961 0.2921 0.0972  1 Ge 1.73
O: 0.0039 0.7921 0.0972  1 Ge 1.73
O: 0.8930 0.3371 0.2335  1 B 1.51
O: 0.6070 0.8371 0.2335  1 B 1.51
O: 0.7158 0.2804 0.2407  2 B 1.50
O: 0.7842 0.7804 0.2407  2 B 1.50
O: 0.2842 0.2804 0.2593  2 B 1.50
O: 0.2158 0.7804 0.2593  2 B 1.50
O: 0.1070 0.3371 0.2665  1 B 1.51
O: 0.3930 0.8371 0.2665  1 B 1.51
O: 0.5039 0.2921 0.4028  1 Ge 1.73
O: 0.9961 0.7921 0.4028  1 Ge 1.73
O: 0.8082 0.4621 0.4501  1 B 1.44
O: 0.6918 0.9621 0.4501  1 B 1.44
O: 0.3082 0.0379 0.5499  1 B 1.44
O: 0.1918 0.5379 0.5499  1 B 1.44
O: 0.0039 0.2079 0.5972  1 Ge 1.73
O: 0.4961 0.7079 0.5972  1 Ge 1.73
O: 0.6070 0.1628 0.7335  1 B 1.51
O: 0.8930 0.6629 0.7335  1 B 1.51
O: 0.7842 0.2197 0.7407  2 B 1.50
O: 0.7158 0.7197 0.7407  2 B 1.50
O: 0.2158 0.2197 0.7593  2 B 1.50
O: 0.2842 0.7197 0.7593  2 B 1.50
O: 0.3930 0.1628 0.7665  1 B 1.51
O: 0.1070 0.6629 0.7665  1 B 1.51
O: 0.9961 0.2079 0.9028  1 Ge 1.73
O: 0.5039 0.7079 0.9028  1 Ge 1.73
O: 0.6918 0.0379 0.9501  1 B 1.44
O: 0.8082 0.5379 0.9501  1 B 1.44
Sm: 0.8598 0.0396 0.0242  7 O 2.30-2.54
Sm: 0.6402 0.5396 0.0242  7 O 2.30-2.54
Sm: 0.1402 0.0396 0.4758  7 O 2.30-2.54
Sm: 0.3598 0.5396 0.4758  7 O 2.30-2.54
Sm: 0.6402 0.4604 0.5242  7 O 2.30-2.54
Sm: 0.8598 0.9604 0.5242  7 O 2.30-2.54
Sm: 0.3598 0.4604 0.9758  7 O 2.30-2.54
Sm: 0.1402 0.9604 0.9758  7 O 2.30-2.54


# 4
# GeB4Os

Crystalline GeB4Os at its relaxed geometry (GGA-PBE, OQMD).

Symmetry: Immm (71)
Total energy (eV per formula unit): -39.473

Cell lengths 4.5926, 4.5926, 4.5926 Å; angles 141.53, 108.68, 84.08 degrees
Closest atoms and distances in Å follow each position.
Element x y z (fractional)
B: 0.5833 0.2466 0.3366  3 B 1.75-1.78
B: 0.0900 0.7534 0.3366  3 B 1.75-1.78
B: 0.9100 0.2466 0.6634  3 B 1.75-1.78
B: 0.4167 0.7534 0.6634  3 B 1.75-1.78
Ge: 0.5000 0.5000 0.0000  12 B 2.43-2.50
Os: 0.0000 0.0000 0.0000  12 B 2.46-2.47